The following is a DFT calculation (GGA-PBE) of a geometry-optimized HgTeIrI2 structure.

Cell lengths 5.7050, 5.7050, 5.0417 Å; angles 90.00, 90.00, 90.00 degrees
With the nearest neighbours (Å) after each atom.
Positions (direct):
I: 0.5000 0.0000 0.0000  2 Ir 2.85
I: 0.0000 0.5000 0.0000  2 Ir 2.85
Ir: 0.0000 0.0000 0.0000  2 Te 2.52
Hg: 0.5000 0.5000 0.5000  8 I 3.81, 4 Te 4.03
Te: 0.0000 0.0000 0.5000  2 Ir 2.52

Properties
SG: P4/mmm, No. 123
Fermi-level density of states in states/eV/f.u.: 4.21
Distance to the lowest polymorph of the same formula in meV per atom: 0
Calculated density in Mg/m³: 7.835
DFT total energy in eV/cell: -13.8

=====

The following is a DFT calculation (GGA-PBE) of a geometry-optimized CsInGaPb2 structure.

Cell lengths 5.7405, 5.8136, 5.7405 Å; angles 90.00, 90.00, 90.00 degrees
With the nearest neighbours (Å) after each atom.
Positions (direct):
Pb: 0.0000 0.0000 0.5000  2 Ga 2.87
Pb: 0.5000 0.0000 0.0000  2 Ga 2.87
Cs: 0.5000 0.5000 0.5000  4 In 4.06, 8 Pb 4.09
In: 0.0000 0.5000 0.0000  2 Ga 2.91
Ga: 0.0000 0.0000 0.0000  4 Pb 2.87, 2 In 2.91

Properties
Energy of formation in eV per formula unit: 0.623
SG: P4/mmm, No. 123
Fermi-level density of states in states/eV/f.u.: 3.21
Calculated density in Mg/m³: 6.344
DFT total energy in eV/cell: -13.4

=====

The following is a DFT calculation (GGA-PBE) of a geometry-optimized Ca3Ga2HgAu6 structure.

Cell lengths 5.8277, 5.8277, 9.4907 Å; angles 90.00, 90.00, 120.00 degrees
With the nearest neighbours (Å) after each atom.
Positions (direct):
Hg: 0.0000 0.0000 0.5000  6 Au 2.85
Au: 0.3421 0.1711 0.7387  1 Ga 2.79, 4 Au 2.84-2.99, 1 Hg 2.85, 1 Ca 3.02
Au: 0.8289 0.6579 0.7387  1 Ga 2.79, 4 Au 2.84-2.99, 1 Hg 2.85, 1 Ca 3.02
Au: 0.1711 0.8289 0.2613  1 Ga 2.79, 4 Au 2.84-2.99, 1 Hg 2.85, 1 Ca 3.02
Au: 0.8289 0.1711 0.7387  1 Ga 2.79, 4 Au 2.84-2.99, 1 Hg 2.85, 1 Ca 3.02
Au: 0.1711 0.3421 0.2613  1 Ga 2.79, 4 Au 2.84-2.99, 1 Hg 2.85, 1 Ca 3.02
Au: 0.6579 0.8289 0.2613  1 Ga 2.79, 4 Au 2.84-2.99, 1 Hg 2.85, 1 Ca 3.02
Ca: 0.3333 0.6667 0.6143  6 Au 3.14
Ca: 0.0000 0.0000 0.0000  6 Au 3.02, 6 Ga 3.37
Ca: 0.6667 0.3333 0.3857  6 Au 3.14
Ga: 0.6667 0.3333 0.9773  3 Au 2.79
Ga: 0.3333 0.6667 0.0227  3 Au 2.79

Properties
Energy of formation in eV per formula unit: -4.988
SG: P-3m1, No. 164
Fermi-level density of states in states/eV/f.u.: 4.73
Calculated density in Mg/m³: 9.768
DFT total energy in eV/cell: -37.0

=====

The following is a DFT calculation (GGA-PBE) of a geometry-optimized Mg4NiAg2 structure.

Cell lengths 4.5574, 4.5574, 7.8731 Å; angles 73.18, 73.18, 60.00 degrees
With the nearest neighbours (Å) after each atom.
Positions (direct):
Ag: 0.7467 0.7467 0.7600  8 Mg 2.72-2.85
Ag: 0.2533 0.2533 0.2400  8 Mg 2.72-2.85
Mg: 0.6246 0.6246 0.1263  4 Ag 2.72-2.76, 3 Ni 2.79
Mg: 0.1254 0.1254 0.6238  1 Ni 2.79, 4 Ag 2.82-2.85
Mg: 0.3754 0.3754 0.8737  4 Ag 2.72-2.76, 3 Ni 2.79
Mg: 0.8746 0.8746 0.3762  1 Ni 2.79, 4 Ag 2.82-2.85
Ni: 0.0000 0.0000 0.0000  8 Mg 2.79

Properties
Energy of formation in eV per formula unit: -0.942
SG: R-3m, No. 166
Fermi-level density of states in states/eV/f.u.: 1.49
Calculated density in Mg/m³: 4.624
DFT total energy in eV/cell: -18.8

=====

The following is a DFT calculation (GGA-PBE) of a geometry-optimized LaSbPS2 structure.

Cell lengths 5.3813, 5.3813, 5.6548 Å; angles 90.00, 90.00, 90.00 degrees
With the nearest neighbours (Å) after each atom.
Positions (direct):
S: 0.0000 0.5000 0.0000  2 La 2.69
S: 0.5000 0.0000 0.0000  2 La 2.69
Sb: 0.5000 0.5000 0.5000  4 P 3.81, 8 S 3.90
P: 0.0000 0.0000 0.5000  2 La 2.83
La: 0.0000 0.0000 0.0000  4 S 2.69, 2 P 2.83

Properties
SG: P4/mmm, No. 123
Fermi-level density of states in states/eV/f.u.: 7.69
Distance to the lowest polymorph of the same formula in meV per atom: 703
Calculated density in Mg/m³: 3.608
DFT total energy in eV/cell: -21.5

=====

The following is a DFT calculation (GGA-PBE) of a geometry-optimized LiAgPd structure.

Cell lengths 2.8027, 4.3758, 4.3758 Å; angles 120.00, 90.00, 90.00 degrees
With the nearest neighbours (Å) after each atom.
Positions (direct):
Li: 0.6802 0.6667 0.3333  3 Pd 2.63, 3 Ag 2.66, 2 Li 2.80
Ag: 0.3837 0.3333 0.6667  3 Li 2.66, 2 Ag 2.80, 6 Pd 2.82-2.96
Pd: 0.9361 0.0000 0.0000  3 Li 2.63, 2 Pd 2.80, 3 Ag 2.82

Properties
Energy of formation in eV per formula unit: -0.804
SG: P3m1, No. 156
Fermi-level density of states in states/eV/f.u.: 0.73
Distance to the lowest polymorph of the same formula in meV per atom: 0
Calculated density in Mg/m³: 7.905
DFT total energy in eV/cell: -10.8

=====

The following is a DFT calculation (GGA-PBE) of a geometry-optimized Ba2ScTc structure.

Cell lengths 9.7934, 9.7934, 4.3375 Å; angles 77.21, 77.21, 20.57 degrees
With the nearest neighbours (Å) after each atom.
Positions (direct):
Ba: 0.6012 0.6012 0.3987  2 Tc 3.30, 2 Ba 3.50, 2 Sc 3.54
Ba: 0.8988 0.8988 0.1013  2 Tc 3.30, 2 Ba 3.50, 2 Sc 3.54
Sc: 0.7500 0.7500 0.7500  4 Tc 2.79
Tc: 0.2500 0.2500 0.2500  4 Sc 2.79

Properties
Energy of formation in eV per formula unit: 1.653
SG: Immm, No. 71
Fermi-level density of states in states/eV/f.u.: 5.47
Distance to the lowest polymorph of the same formula in meV per atom: 67
Calculated density in Mg/m³: 4.870
DFT total energy in eV/cell: -18.9

=====

The following is a DFT calculation (GGA-PBE) of a geometry-optimized Rb3Li2RhF9 structure.

Cell lengths 6.0248, 6.0248, 7.6887 Å; angles 90.00, 90.00, 120.00 degrees
With the nearest neighbours (Å) after each atom.
Positions (direct):
F: 0.8468 0.1532 0.6464  1 Rh 1.96
F: 0.5000 0.0000 0.0000  2 Li 1.86
F: 0.0000 0.5000 0.0000  2 Li 1.86
F: 0.8468 0.6936 0.6464  1 Rh 1.96
F: 0.1532 0.3064 0.3536  1 Rh 1.96
F: 0.3064 0.1532 0.6464  1 Rh 1.96
F: 0.1532 0.8468 0.3536  1 Rh 1.96
F: 0.5000 0.5000 0.0000  2 Li 1.86
F: 0.6936 0.8468 0.3536  1 Rh 1.96
Rb: 0.3333 0.6667 0.6872  12 F 2.97-3.18, 1 Li 3.08
Rb: 0.0000 0.0000 0.0000  12 F 3.01-3.15
Rb: 0.6667 0.3333 0.3128  12 F 2.97-3.18, 1 Li 3.08
Li: 0.6667 0.3333 0.9127  3 F 1.86
Li: 0.3333 0.6667 0.0873  3 F 1.86
Rh: 0.0000 0.0000 0.5000  6 F 1.96

Properties
SG: P-3m1, No. 164
Fermi-level density of states in states/eV/f.u.: 10.53
Calculated density in Mg/m³: 3.739
DFT total energy in eV/cell: -67.7